# 1
Here is a PBEsol-optimized structure of Li3TiCr3O8 from the Alexandria database. Energies are from SCAN.

Results
Uncorrected formation energy, eV per formula unit: -39.6
Crystal system: monoclinic
Final energy, eV per atom: -11.1901

Lattice parameters (Å, degrees): 10.0511 5.7847 5.8114 90.00 124.32 90.00
Closest atoms and distances in Å follow each position.
Space group C2/m (No. 12)
Unique sites:
Li 0.0000 0.0000 0.0000 x2  6 O 2.13-2.15
Li 0.2500 0.2500 0.0000 x4  6 O 2.11-2.16
Ti 0.0000 0.5000 0.5000 x2  6 O 1.97-2.00
Cr 0.0000 0.0000 0.5000 x2  6 O 1.94-1.96
Cr 0.2500 0.2500 0.5000 x4  6 O 1.97-2.00
O 0.0100 0.2487 0.2802 x8  2 Cr 1.96-1.99, 1 Ti 1.97, 2 Li 2.13-2.16
O 0.2340 0.0000 0.7129 x4  3 Cr 1.94-1.97, 2 Li 2.14
O 0.2408 0.5000 0.7281 x4  2 Cr 2.00, 1 Ti 2.00, 3 Li 2.11-2.15

# 2
Here is a PBEsol-optimized structure of ZrTeP2 from the Alexandria database. Energies are from SCAN.

Results
Uncorrected formation energy, eV per formula unit: 0.8
Crystal system: cubic
Energy above the lowest structure with this stoichiometry, meV per atom: 355
Final energy, eV per atom: -21.9779

Lattice parameters (Å, degrees): 6.7134 6.7134 6.7134 90.00 90.00 90.00
Closest atoms and distances in Å follow each position.
Space group F-43m (No. 216)
Unique sites:
Zr 0.0000 0.0000 0.0000 x4  4 Te 2.91, 4 P 2.91
Te 0.2500 0.2500 0.2500 x4  4 Zr 2.91, 4 P 2.91
P 0.0000 0.0000 0.5000 x4  4 Te 2.91, 4 P 2.91
P 0.2500 0.2500 0.7500 x4  4 Zr 2.91, 4 P 2.91

# 3
Here is a PBEsol-optimized structure of Zn2TcAs from the Alexandria database. Energies are from SCAN.

Results
Crystal system: orthorhombic
Final energy, eV per atom: -20.4969

Lattice parameters (Å, degrees): 3.3389 3.8850 8.6876 90.00 90.00 90.00
Closest atoms and distances in Å follow each position.
Space group Immm (No. 71)
Unique sites:
Zn 0.0000 0.0000 0.2472 x4  4 Zn 2.56, 2 As 2.72, 2 Tc 2.76
Tc 0.0000 0.5000 0.0000 x2  4 As 2.56, 4 Zn 2.76
As 0.0000 0.5000 0.5000 x2  4 Tc 2.56, 4 Zn 2.72

# 4
Here is a PBEsol-optimized structure of AlS2I from the Alexandria database. Energies are from SCAN.

Results
Uncorrected formation energy, eV per formula unit: -2.5
Crystal system: trigonal
Final energy, eV per atom: -16.5668

Lattice parameters (Å, degrees): 3.6786 3.6786 23.1117 90.00 90.00 120.00
Closest atoms and distances in Å follow each position.
Space group R-3m (No. 166, hexagonal axes)
Unique sites:
Al 0.0000 0.0000 0.0000 x3  6 S 2.45
S 0.0000 0.0000 0.3865 x6  3 Al 2.45, 1 I 2.62
I 0.0000 0.0000 0.5000 x3  2 S 2.62

# 5
Here is a PBEsol-optimized structure of BaAl2Te from the Alexandria database. Energies are from SCAN.

Results
Uncorrected formation energy, eV per formula unit: 0.3
Crystal system: trigonal
Final energy, eV per atom: -23.0095

Lattice parameters (Å, degrees): 3.8932 3.8932 27.4445 90.00 90.00 120.00
Closest atoms and distances in Å follow each position.
Space group R-3m (No. 166, hexagonal axes)
Unique sites:
Ba 0.0000 0.0000 0.0000 x3  6 Al 3.55, 6 Ba 3.89
Al 0.0000 0.0000 0.2334 x6  3 Te 2.90
Te 0.0000 0.0000 0.5000 x3  6 Al 2.90

# 6
Here is a PBEsol-optimized structure of ZnCo2Mo from the Alexandria database. Energies are from SCAN.

Results
Crystal system: tetragonal
Final energy, eV per atom: -20.6187

Lattice parameters (Å, degrees): 2.6695 2.6695 6.6805 90.00 90.00 90.00
Closest atoms and distances in Å follow each position.
Space group P4/mmm (No. 123)
Unique sites:
Zn 0.0000 0.0000 0.0000 x1  8 Co 2.49, 4 Zn 2.67
Co 0.5000 0.5000 0.2431 x2  4 Zn 2.49, 4 Mo 2.55, 4 Co 2.67
Mo 0.0000 0.0000 0.5000 x1  8 Co 2.55, 4 Mo 2.67

# 7
Here is a PBEsol-optimized structure of HfCu3Br from the Alexandria database. Energies are from SCAN.

Results
Uncorrected formation energy, eV per formula unit: 6.6
Crystal system: cubic
Final energy, eV per atom: -24.2235

Lattice parameters (Å, degrees): 4.8948 4.8948 4.8948 90.00 90.00 90.00
Closest atoms and distances in Å follow each position.
Space group Pm-3m (No. 221)
Unique sites:
Hf 0.0000 0.0000 0.0000 x1  6 Cu 2.45
Cu 0.0000 0.0000 0.5000 x3  2 Hf 2.45
Br 0.5000 0.5000 0.5000 x1  12 Cu 3.46

# 8
Here is a PBEsol-optimized structure of ZrSc2Be from the Alexandria database. Energies are from SCAN.

Results
Crystal system: trigonal
Final energy, eV per atom: -15.5157

Lattice parameters (Å, degrees): 3.0596 3.0596 29.8774 90.00 90.00 120.00
Closest atoms and distances in Å follow each position.
Space group R-3m (No. 166, hexagonal axes)
Unique sites:
Zr 0.0000 0.0000 0.0000 x3  2 Sc 3.04, 6 Zr 3.06
Sc 0.0000 0.0000 0.1018 x6  3 Be 2.62
Be 0.0000 0.0000 0.5000 x3  6 Sc 2.62

# 9
Here is a PBEsol-optimized structure of Tl3Cd5 from the Alexandria database. Energies are from SCAN.

Results
Crystal system: orthorhombic
Energy above the lowest structure with this stoichiometry, meV per atom: 0
Final energy, eV per atom: -46.0578

Lattice parameters (Å, degrees): 9.1245 9.2664 4.5259 90.00 90.00 90.00
Closest atoms and distances in Å follow each position.
Space group Cmmm (No. 65)
Unique sites:
Tl 0.0000 0.0000 0.0000 x2  8 Cd 3.25-3.26, 4 Tl 3.27
Tl 0.0000 0.2552 0.5000 x4  10 Cd 3.17-3.33, 2 Tl 3.27
Cd 0.0000 0.5000 0.0000 x2  8 Cd 3.17-3.25, 4 Tl 3.20
Cd 0.2432 0.5000 0.5000 x4  6 Cd 3.17-3.24, 6 Tl 3.17-3.33
Cd 0.2500 0.2500 0.0000 x4  6 Tl 3.21-3.25, 6 Cd 3.24-3.25

# 10
Here is a PBEsol-optimized structure of MgTcAg from the Alexandria database. Energies are from SCAN.

Results
Crystal system: trigonal
Final energy, eV per atom: -23.3812

Lattice parameters (Å, degrees): 4.6126 4.6126 2.5917 90.00 90.00 120.00
Closest atoms and distances in Å follow each position.
Space group P3m1 (No. 156)
Unique sites:
Mg 0.0000 0.0000 0.0000 x1  2 Mg 2.59, 3 Ag 2.67
Tc 0.3333 0.6667 0.4532 x1  2 Tc 2.59
Ag 0.6667 0.3333 0.9167 x1  2 Ag 2.59, 3 Mg 2.67

# 11
Here is a PBEsol-optimized structure of ZrIr2Ru from the Alexandria database. Energies are from SCAN.

Results
Crystal system: tetragonal
Energy above the lowest structure with this stoichiometry, meV per atom: 0
Final energy, eV per atom: -52.6213

Lattice parameters (Å, degrees): 3.9284 3.9284 3.9147 90.00 90.00 90.00
Closest atoms and distances in Å follow each position.
Space group P4/mmm (No. 123)
Unique sites:
Zr 0.0000 0.0000 0.0000 x1  8 Ir 2.77, 4 Ru 2.78
Ir 0.0000 0.5000 0.5000 x2  4 Zr 2.77, 4 Ru 2.77, 4 Ir 2.78
Ru 0.5000 0.5000 0.0000 x1  8 Ir 2.77, 4 Zr 2.78

# 12
Here is a PBEsol-optimized structure of Nb7P4 from the Alexandria database. Energies are from SCAN.

Results
Crystal system: monoclinic
Final energy, eV per atom: -25.7908

Lattice parameters (Å, degrees): 14.9449 3.4250 13.8234 90.00 104.79 90.00
Closest atoms and distances in Å follow each position.
Space group C2/m (No. 12)
Unique sites:
Nb 0.0000 0.0000 0.0000 x2  4 P 2.51-2.66
Nb 0.0000 0.5000 0.5000 x2  4 P 2.59-2.62, 4 Nb 2.85
Nb 0.0035 0.0000 0.6656 x4  5 P 2.47-2.57
Nb 0.0679 0.5000 0.1727 x4  4 P 2.57-2.61
Nb 0.1626 0.5000 0.9723 x4  4 P 2.56-2.59
Nb 0.1753 0.0000 0.5409 x4  5 P 2.57-2.87
Nb 0.1950 0.0000 0.3123 x4  4 P 2.46-2.70
Nb 0.2100 0.0000 0.8001 x4  5 P 2.44-2.59
P 0.0644 0.0000 0.8495 x4  7 Nb 2.44-2.59
P 0.1262 0.5000 0.3986 x4  7 Nb 2.46-2.62
P 0.1305 0.5000 0.6646 x4  8 Nb 2.55-2.62
P 0.1734 0.0000 0.1123 x4  8 Nb 2.52-2.70

# 13
Here is a PBEsol-optimized structure of Te2Pb from the Alexandria database. Energies are from SCAN.

Results
Uncorrected formation energy, eV per formula unit: -0.6
Crystal system: cubic
Final energy, eV per atom: -50.2993

Lattice parameters (Å, degrees): 7.6142 7.6142 7.6142 90.00 90.00 90.00
Closest atoms and distances in Å follow each position.
Space group Pa-3 (No. 205)
Unique sites:
Te 0.1046 0.1046 0.1046 x8  1 Te 2.76
Pb 0.0000 0.0000 0.5000 x4  6 Te 3.21

# 14
Here is a PBEsol-optimized structure of Sr3NiN from the Alexandria database. Energies are from SCAN.

Results
Uncorrected formation energy, eV per formula unit: -0.7
Crystal system: cubic
Final energy, eV per atom: -18.5952

Lattice parameters (Å, degrees): 5.0776 5.0776 5.0776 90.00 90.00 90.00
Closest atoms and distances in Å follow each position.
Space group Pm-3m (No. 221)
Unique sites:
Sr 0.0000 0.0000 0.5000 x3  2 N 2.54
Ni 0.5000 0.5000 0.5000 x1  12 Sr 3.59
N 0.0000 0.0000 0.0000 x1  6 Sr 2.54

# 15
Here is a PBEsol-optimized structure of BiSe2O from the Alexandria database. Energies are from SCAN.

Results
Uncorrected formation energy, eV per formula unit: 2.2
Crystal system: trigonal
Energy above the lowest structure with this stoichiometry, meV per atom: 21
Final energy, eV per atom: -30.6815

Lattice parameters (Å, degrees): 4.1258 4.1258 19.7214 90.00 90.00 120.00
Closest atoms and distances in Å follow each position.
Space group R-3m (No. 166, hexagonal axes)
Unique sites:
Bi 0.0000 0.0000 0.0000 x3  2 Se 2.93
Se 0.0000 0.0000 0.1487 x6  3 O 2.41, 3 Se 2.49
O 0.0000 0.0000 0.5000 x3  6 Se 2.41

# 16
Here is a PBEsol-optimized structure of Ba2MgZr from the Alexandria database. Energies are from SCAN.

Results
Crystal system: orthorhombic
Final energy, eV per atom: -28.2723

Lattice parameters (Å, degrees): 3.7623 6.0091 12.3486 90.00 90.00 90.00
Closest atoms and distances in Å follow each position.
Space group Imm2 (No. 44)
Unique sites:
Ba 0.0000 0.0000 0.0000 x2  4 Zr 3.60, 2 Mg 3.70, 6 Ba 3.76-4.02
Ba 0.0000 0.5000 0.2122 x2  4 Mg 3.59, 2 Zr 3.76, 4 Ba 3.76-3.99
Mg 0.0000 0.5000 0.7582 x2  2 Zr 3.01
Zr 0.0000 0.0000 0.4487 x2  2 Mg 3.01

# 17
Here is a PBEsol-optimized structure of PbAu2 from the Alexandria database. Energies are from SCAN.

Results
Crystal system: cubic
Final energy, eV per atom: -71.4118

Lattice parameters (Å, degrees): 7.9368 7.9368 7.9368 90.00 90.00 90.00
Closest atoms and distances in Å follow each position.
Space group Fd-3m (No. 227, origin choice 2)
Unique sites:
Pb 0.1250 0.1250 0.1250 x8  12 Au 3.29, 4 Pb 3.44
Au 0.0000 0.0000 0.5000 x16  6 Au 2.81

# 18
Here is a PBEsol-optimized structure of Al2CoTcMo from the Alexandria database. Energies are from SCAN.

Results
Crystal system: tetragonal
Final energy, eV per atom: -19.8799

Lattice parameters (Å, degrees): 4.2444 4.2444 4.3499 90.00 90.00 90.00
Closest atoms and distances in Å follow each position.
Space group P4/mmm (No. 123)
Unique sites:
Al 0.0000 0.5000 0.0000 x2  2 Co 2.12
Co 0.0000 0.0000 0.0000 x1  4 Al 2.12, 2 Tc 2.17
Tc 0.0000 0.0000 0.5000 x1  2 Co 2.17
Mo 0.5000 0.5000 0.5000 x1  4 Tc 3.00, 8 Al 3.04

# 19
Here is a PBEsol-optimized structure of Na3Mg from the Alexandria database. Energies are from SCAN.

Results
Crystal system: cubic
Final energy, eV per atom: -3.9378

Lattice parameters (Å, degrees): 6.2034 6.2034 6.2034 90.00 90.00 90.00
Closest atoms and distances in Å follow each position.
Space group Pm-3m (No. 221)
Unique sites:
Na 0.0000 0.0000 0.5000 x3  2 Mg 3.10
Mg 0.0000 0.0000 0.0000 x1  6 Na 3.10

# 20
Here is a PBEsol-optimized structure of MgMnCo2 from the Alexandria database. Energies are from SCAN.

Results
Crystal system: tetragonal
Final energy, eV per atom: -14.4749

Lattice parameters (Å, degrees): 2.8391 2.8391 6.4900 90.00 90.00 90.00
Closest atoms and distances in Å follow each position.
Space group P4mm (No. 99)
Unique sites:
Mg 0.0000 0.0000 0.0000 x1  4 Co 2.65, 4 Mg 2.84, 4 Mn 2.87
Mn 0.5000 0.5000 0.3156 x1  5 Co 2.48-2.71
Co 0.0000 0.0000 0.5396 x1  4 Co 2.37, 4 Mn 2.48
Co 0.5000 0.5000 0.7330 x1  4 Co 2.37